Here is crystalline MgNpAu2 at its relaxed geometry from the Alexandria database. Energies are from PBE.

Cell: 3.177 3.177 7.935 Å, 90.00 90.00 90.00°
Space group P4/mmm (No. 123)
One atom of each set of equivalent atoms:
Mg1 0.000 0.000 0.000 [1 per cell]
Np1 0.000 0.000 0.500 [1 per cell]
Au1 0.500 0.500 0.220 [2 per cell]

Values from the calculation:
- N(E_F): 5.505 states/eV/cell
- Energy of formation: -0.33 eV per atom
- Volume: 80 Å³/f.u.